1.
The following is a DFT calculation (PBE) of an optimized crystal structure of CsNa2Tl4. Values from VASP.

Cell and atoms, written as Quantum ESPRESSO input:
```
&SYSTEM
  ibrav = 0, nat = 7, ntyp = 3
/
ATOMIC_SPECIES
Tl 204.38 Tl.upf
Na 22.99 Na.upf
Cs 132.91 Cs.upf
ATOMIC_POSITIONS angstrom
Tl 1.4287 2.5696 6.8753
Tl 4.5621 2.5817 7.4774
Na 2.6560 -0.1150 8.7368
Tl 4.5985 -2.7461 7.3962
Cs 2.4315 -4.3993 10.2831
Na 3.3710 -0.0616 5.5356
Tl 1.4650 -2.7582 6.7944
CELL_PARAMETERS angstrom
-1.2224 -0.1063 6.4244
3.6539 -4.2930 3.8589
3.5956 4.2227 3.9886
```


2.
! PBE Pr6HoTm12, relaxed; values from VASP
&SYSTEM
  ibrav = 0, nat = 19, ntyp = 3
/
ATOMIC_SPECIES
Pr 140.91 Pr.upf
Tm 168.93 Tm.upf
Ho 164.93 Ho.upf
ATOMIC_POSITIONS angstrom
Pr -4.3522 -5.2033 5.1320
Tm -2.5164 -3.0162 3.0052
Pr 1.9172 -4.2284 7.1273
Ho 0.0000 0.0000 0.0000
Pr -5.8191 -2.6154 8.4766
Tm -0.1837 -1.6053 7.2142
Tm -3.7183 -5.2385 8.3898
Tm -3.4938 -2.1200 6.1607
Tm -2.8184 -2.2185 9.9394
Tm 1.0893 -2.4553 4.1529
Pr -1.2542 -7.3605 7.5370
Pr 0.4503 -1.6405 10.4720
Tm -1.3855 -3.8276 12.5988
Tm -1.0836 -4.6253 5.6646
Tm -4.9912 -4.3886 11.4511
Tm -0.4081 -4.7238 9.4433
Pr -2.6478 0.5167 8.0670
Tm -1.5364 0.2736 4.6932
Tm -2.3655 -7.1174 10.9108
CELL_PARAMETERS angstrom
-5.7181 -5.9933 2.4686
4.7044 -4.3686 5.7874
-2.8882 3.5181 7.3479
! **ΔE to the lowest computed polymorph**: 0.00 eV per formula unit


Which formation energy from the elements belongs to each record? In order, -60; 130 meV/atom.